Computed, not measured: crystalline Rb2NaAgBr4 at its relaxed geometry at the GGA-PBE level of DFT.

## Properties
- Energy relative to the elements, uncorrected: -1.301 eV per atom

```
data_Rb2NaAgBr4
_chemical_formula_sum 'Rb8 Na4 Ag4 Br16'
_cell_length_a 12.720
_cell_length_b 13.074
_cell_length_c 9.052
_cell_angle_alpha 90.00
_cell_angle_beta 134.59
_cell_angle_gamma 90.00
_symmetry_space_group_name_H-M 'C 1 2/c 1'
_symmetry_Int_Tables_number 15
loop_
_symmetry_equiv_pos_as_xyz
'x,y,z'
'-x,-y,-z'
'-x,y,-z+1/2'
'x,-y,z+1/2'
'x+1/2,y+1/2,z'
'-x+1/2,-y+1/2,-z'
'-x+1/2,y+1/2,-z+1/2'
'x+1/2,-y+1/2,z+1/2'
loop_
_atom_site_label
_atom_site_type_symbol
_atom_site_fract_x
_atom_site_fract_y
_atom_site_fract_z
Rb1 Rb 0.000 0.000 0.000
Rb2 Rb 0.250 0.250 0.000
Na1 Na 0.000 0.500 0.000
Ag1 Ag 0.250 0.250 0.500
Br1 Br 0.007 0.261 0.470
Br2 Br 0.224 0.490 0.474
```